Compound: FeOsF2
Source: Alexandria
Functional: PBE+U
Structure: optimized geometry

```
FeOsF2
1.0
1.5698 0.0000 9.6135
-0.7849 1.3594 9.6135
-0.7849 -1.3594 9.6135
Fe F Os
1 2 1
direct
0.5000 0.5000 0.5000
0.8786 0.8786 0.8786
0.1214 0.1214 0.1214
0.0000 0.0000 0.0000
```

Results
**E_tot**: -5.795 eV/atom
**V**: 15.4 Å³/atom
**Excess energy over the best structure of this formula in the dataset**: 0.00 kJ/mol of atoms